# 1
A relaxed structure of BeCr2W, computed with PBE.

Properties
The space group is No. 71.

abc: 4.760 4.760 4.760
angles: 142.92 130.73 63.24
Positions (direct):
Cr 0.996 0.996 0.000
Cr 0.504 0.504 0.000
W 0.750 0.250 0.500
Be 0.250 0.750 0.500

***

# 2
A relaxed structure of BeCr2W, computed with PBE.

Properties
The space group is No. 35.

abc: 2.576 2.576 7.746
angles: 90.00 90.00 107.47
Positions (direct):
Cr 0.000 0.000 0.989
Cr 0.500 0.500 0.234
W 0.000 0.000 0.512
Be 0.500 0.500 0.764

***

# 3
A relaxed structure of BeCrW2, computed with PBE.

Properties
The space group is No. 6.

abc: 4.255 2.660 4.865
angles: 80.24 90.00 90.00
Positions (direct):
Cr 0.500 0.707 0.757
W 0.000 0.975 0.978
W 0.500 0.227 0.270
Be 0.000 0.590 0.495

***

# 4
A relaxed structure of BeCr2W, computed with PBE.

Properties
The space group is No. 44.

abc: 4.748 4.748 4.094
angles: 64.52 64.52 36.61
Positions (direct):
Cr 0.011 0.011 0.989
Cr 0.739 0.739 0.761
W 0.491 0.491 0.509
Be 0.259 0.259 0.241

***

# 5
A relaxed structure of BeCrW2, computed with PBE.

Properties
The space group is No. 122.

abc: 6.574 6.574 5.337
angles: 51.98 51.98 90.00
Positions (direct):
Cr 0.000 0.000 0.000
Cr 0.750 0.250 0.500
W 0.620 0.125 0.250
W 0.130 0.625 0.250
W 0.375 0.380 0.750
W 0.875 0.870 0.750
Be 0.500 0.500 0.000
Be 0.250 0.750 0.500

***

# 6
A relaxed structure of BeCrW, computed with PBE.

Properties
The space group is No. 107.

abc: 4.468 4.468 4.468
angles: 139.72 139.72 58.29
Positions (direct):
Cr 0.663 0.663 0.000
W 0.332 0.332 0.000
Be 0.005 0.005 0.000

***

# 7
A relaxed structure of BeCr2W, computed with PBE.

Properties
The space group is No. 122.

abc: 6.604 6.604 5.201
angles: 50.59 50.59 90.00
Positions (direct):
Cr 0.571 0.125 0.250
Cr 0.179 0.625 0.250
Cr 0.375 0.429 0.750
Cr 0.875 0.821 0.750
W 0.000 0.000 0.000
W 0.750 0.250 0.500
Be 0.500 0.500 0.000
Be 0.250 0.750 0.500

***

# 8
A relaxed structure of BeCrW2, computed with PBE.

Properties
The space group is No. 71.

abc: 4.850 4.850 4.272
angles: 63.91 63.91 37.96
Positions (direct):
Cr 0.250 0.250 0.250
W 0.991 0.991 0.009
W 0.509 0.509 0.491
Be 0.750 0.750 0.750

***

| no. | N(E_F) (states/eV/atom) | E_form (meV/atom) |
| --- | --- | --- |
| 1 | 0.641 | 155 |
| 2 | 0.482 | 170 |
| 3 | 0.490 | 189 |
| 4 | 0.712 | 153 |
| 5 | 0.909 | 866 |
| 6 | 0.547 | 111 |
| 7 | 0.600 | 725 |
| 8 | 0.760 | 238 |